1.
{"formula": "Cd3Ge5Br12", "functional": "GGA-PBE", "state": "optimized geometry", "total_magnetization_mub_per_fu": 2.0, "crystal_system": "cubic", "lattice": [[-8.908, 8.908, 8.908], [8.908, -8.908, 8.908], [8.908, 8.908, -8.908]], "species": ["Cd", "Cd", "Cd", "Cd", "Cd", "Cd", "Cd", "Cd", "Cd", "Cd", "Cd", "Cd", "Ge", "Ge", "Ge", "Ge", "Ge", "Ge", "Ge", "Ge", "Ge", "Ge", "Ge", "Ge", "Ge", "Ge", "Ge", "Ge", "Ge", "Ge", "Ge", "Ge", "Br", "Br", "Br", "Br", "Br", "Br", "Br", "Br", "Br", "Br", "Br", "Br", "Br", "Br", "Br", "Br", "Br", "Br", "Br", "Br", "Br", "Br", "Br", "Br", "Br", "Br", "Br", "Br", "Br", "Br", "Br", "Br", "Br", "Br", "Br", "Br", "Br", "Br", "Br", "Br", "Br", "Br", "Br", "Br", "Br", "Br", "Br", "Br"], "fractional_positions": [[0.125, 0.250, 0.375], [0.125, 0.375, 0.750], [0.250, 0.375, 0.125], [0.250, 0.875, 0.625], [0.375, 0.125, 0.250], [0.375, 0.750, 0.125], [0.625, 0.250, 0.875], [0.625, 0.875, 0.750], [0.750, 0.125, 0.375], [0.750, 0.625, 0.875], [0.875, 0.625, 0.250], [0.875, 0.750, 0.625], [0.000, 0.000, 0.000], [0.000, 0.000, 0.500], [0.000, 0.500, 0.000], [0.000, 0.500, 0.500], [0.125, 0.750, 0.875], [0.125, 0.875, 0.250], [0.250, 0.125, 0.875], [0.250, 0.625, 0.375], [0.375, 0.250, 0.625], [0.375, 0.625, 0.750], [0.500, 0.000, 0.000], [0.500, 0.000, 0.500], [0.500, 0.500, 0.000], [0.500, 0.500, 0.500], [0.625, 0.375, 0.250], [0.625, 0.750, 0.375], [0.750, 0.375, 0.625], [0.750, 0.875, 0.125], [0.875, 0.125, 0.750], [0.875, 0.250, 0.125], [0.025, 0.203, 0.113], [0.025, 0.323, 0.912], [0.088, 0.613, 0.410], [0.088, 0.975, 0.677], [0.090, 0.703, 0.677], [0.090, 0.887, 0.412], [0.113, 0.025, 0.203], [0.113, 0.588, 0.910], [0.177, 0.203, 0.590], [0.177, 0.475, 0.588], [0.203, 0.113, 0.025], [0.203, 0.590, 0.177], [0.297, 0.323, 0.910], [0.297, 0.475, 0.387], [0.323, 0.910, 0.297], [0.323, 0.912, 0.025], [0.387, 0.297, 0.475], [0.387, 0.590, 0.912], [0.410, 0.088, 0.613], [0.410, 0.823, 0.797], [0.412, 0.090, 0.887], [0.412, 0.823, 0.525], [0.475, 0.387, 0.297], [0.475, 0.588, 0.177], [0.525, 0.412, 0.823], [0.525, 0.613, 0.703], [0.588, 0.177, 0.475], [0.588, 0.910, 0.113], [0.590, 0.177, 0.203], [0.590, 0.912, 0.387], [0.613, 0.410, 0.088], [0.613, 0.703, 0.525], [0.677, 0.088, 0.975], [0.677, 0.090, 0.703], [0.703, 0.525, 0.613], [0.703, 0.677, 0.090], [0.797, 0.410, 0.823], [0.797, 0.887, 0.975], [0.823, 0.525, 0.412], [0.823, 0.797, 0.410], [0.887, 0.412, 0.090], [0.887, 0.975, 0.797], [0.910, 0.113, 0.588], [0.910, 0.297, 0.323], [0.912, 0.025, 0.323], [0.912, 0.387, 0.590], [0.975, 0.677, 0.088], [0.975, 0.797, 0.887]]}

=====

2.
{"formula": "CdHgGe2Br", "functional": "GGA-PBE", "state": "optimized geometry", "total_magnetization_mub_per_fu": 0.0, "crystal_system": "tetragonal", "lattice": [[5.246, 0.000, 0.000], [0.000, 5.246, 0.000], [0.000, 0.000, 5.823]], "species": ["Cd", "Hg", "Ge", "Ge", "Br"], "fractional_positions": [[0.000, 0.000, 0.000], [0.500, 0.500, 0.500], [0.000, 0.500, 0.500], [0.500, 0.000, 0.500], [0.500, 0.500, 0.000]]}

=====

3.
{"formula": "CdHg2GeBr", "functional": "GGA-PBE", "state": "optimized geometry", "total_magnetization_mub_per_fu": 0.0, "crystal_system": "tetragonal", "lattice": [[5.308, 0.000, 0.000], [0.000, 5.308, 0.000], [0.000, 0.000, 5.380]], "species": ["Cd", "Hg", "Hg", "Ge", "Br"], "fractional_positions": [[0.000, 0.000, 0.000], [0.000, 0.500, 0.500], [0.500, 0.000, 0.500], [0.000, 0.000, 0.500], [0.500, 0.500, 0.000]]}

=====

4.
{"formula": "KCdInGeBr", "functional": "GGA-PBE", "state": "optimized geometry", "total_magnetization_mub_per_fu": 0.0, "crystal_system": "triclinic", "lattice": [[4.714, 0.000, 0.000], [-2.351, 4.091, 0.000], [-0.013, -2.719, 8.988]], "species": ["K", "Cd", "In", "Ge", "Br"], "fractional_positions": [[0.000, 0.000, 0.000], [0.237, 0.469, 0.710], [0.835, 0.665, 0.503], [0.547, 0.088, 0.639], [0.728, 0.455, 0.182]]}

=====

5.
{"formula": "KCdInGeBr", "functional": "GGA-PBE", "state": "optimized geometry", "total_magnetization_mub_per_fu": 0.0, "crystal_system": "triclinic", "lattice": [[4.720, 0.000, 0.000], [0.002, 4.796, 0.000], [2.336, 0.207, 7.876]], "species": ["K", "Cd", "In", "Ge", "Br"], "fractional_positions": [[0.000, 0.000, 0.000], [0.233, 0.212, 0.526], [0.687, 0.533, 0.620], [0.777, 0.010, 0.438], [0.507, 0.503, 0.985]]}

=====

6.
{"formula": "KCdInGeBr", "functional": "GGA-PBE", "state": "optimized geometry", "total_magnetization_mub_per_fu": 0.0, "crystal_system": "monoclinic", "lattice": [[7.335, -2.045, 0.000], [7.335, 2.045, 0.000], [-1.219, 0.000, 5.671]], "species": ["K", "Cd", "In", "Ge", "Br"], "fractional_positions": [[0.000, 0.000, 0.000], [0.748, 0.748, 0.216], [0.705, 0.705, 0.662], [0.290, 0.290, 0.944], [0.511, 0.511, 0.526]]}

=====

7.
{"formula": "KCdInGeBr", "functional": "GGA-PBE", "state": "optimized geometry", "total_magnetization_mub_per_fu": 0.0, "crystal_system": "triclinic", "lattice": [[4.759, 0.000, 0.000], [2.266, 4.207, 0.000], [2.315, 1.388, 8.609]], "species": ["K", "Cd", "In", "Ge", "Br"], "fractional_positions": [[0.000, 0.000, 0.000], [0.831, 0.825, 0.499], [0.559, 0.560, 0.310], [0.209, 0.203, 0.356], [0.721, 0.718, 0.822]]}

=====

8.
{"formula": "KCdInGeBr", "functional": "GGA-PBE", "state": "optimized geometry", "total_magnetization_mub_per_fu": 0.0, "crystal_system": "monoclinic", "lattice": [[4.539, 0.000, 0.000], [0.000, 4.528, 0.000], [-2.251, 0.000, 7.881]], "species": ["K", "Cd", "In", "Ge", "Br"], "fractional_positions": [[0.000, 0.000, 0.000], [0.750, 0.500, 0.506], [0.258, 0.000, 0.524], [0.350, 0.500, 0.708], [0.571, 0.500, 0.143]]}

=====

9.
{"formula": "KCdInGeBr", "functional": "GGA-PBE", "state": "optimized geometry", "total_magnetization_mub_per_fu": 0.0, "crystal_system": "monoclinic", "lattice": [[4.107, -2.329, 0.000], [4.107, 2.329, 0.000], [-2.662, 0.000, 8.964]], "species": ["K", "Cd", "In", "Ge", "Br"], "fractional_positions": [[0.000, 0.000, 0.000], [0.827, 0.827, 0.491], [0.232, 0.232, 0.703], [0.538, 0.538, 0.623], [0.729, 0.729, 0.181]]}

=====

10.
{"formula": "KCdInGeBr", "functional": "GGA-PBE", "state": "optimized geometry", "total_magnetization_mub_per_fu": 0.0, "crystal_system": "trigonal", "lattice": [[2.365, 1.366, 9.158], [-2.365, 1.366, 9.158], [0.000, -2.731, 9.158]], "species": ["K", "Cd", "In", "Ge", "Br"], "fractional_positions": [[0.000, 0.000, 0.000], [0.232, 0.232, 0.232], [0.496, 0.496, 0.496], [0.869, 0.869, 0.869], [0.390, 0.390, 0.390]]}

=====

11.
{"formula": "KCdInGeBr", "functional": "GGA-PBE", "state": "optimized geometry", "total_magnetization_mub_per_fu": 0.0, "crystal_system": "monoclinic", "lattice": [[8.204, -2.242, 0.000], [8.204, 2.242, 0.000], [-1.254, 0.000, 4.710]], "species": ["K", "Cd", "In", "Ge", "Br"], "fractional_positions": [[0.000, 0.000, 0.000], [0.251, 0.251, 0.255], [0.725, 0.725, 0.817], [0.320, 0.320, 0.798], [0.546, 0.546, 0.539]]}

=====

12.
{"formula": "KCdInGeBr", "functional": "GGA-PBE", "state": "optimized geometry", "total_magnetization_mub_per_fu": 0.0, "crystal_system": "monoclinic", "lattice": [[4.106, -2.372, 0.000], [4.106, 2.372, 0.000], [-2.733, 0.000, 8.856]], "species": ["K", "Cd", "In", "Ge", "Br"], "fractional_positions": [[0.000, 0.000, 0.000], [0.569, 0.569, 0.712], [0.834, 0.834, 0.506], [0.212, 0.212, 0.640], [0.726, 0.726, 0.179]]}

=====

Number 1: formation energy (no corrections) -0.3259 eV/atom, D(E_F) 0.4660 states/eV/atom. Number 2: formation energy (no corrections) 0.6207 eV/atom, D(E_F) 0.9038 states/eV/atom. Number 3: formation energy (no corrections) -0.0849 eV/atom, D(E_F) 0.1106 states/eV/atom. Number 4: formation energy (no corrections) -0.4174 eV/atom, D(E_F) 0.2054 states/eV/atom. Number 5: formation energy (no corrections) -0.3850 eV/atom, D(E_F) 0.3473 states/eV/atom. Number 6: formation energy (no corrections) -0.3414 eV/atom, D(E_F) 0.4798 states/eV/atom. Number 7: formation energy (no corrections) -0.4239 eV/atom, D(E_F) 0.2918 states/eV/atom. Number 8: formation energy (no corrections) -0.3859 eV/atom, D(E_F) 0.3320 states/eV/atom. Number 9: formation energy (no corrections) -0.4209 eV/atom, D(E_F) 0.1790 states/eV/atom. Number 10: formation energy (no corrections) -0.4173 eV/atom, D(E_F) 0.1733 states/eV/atom. Number 11: formation energy (no corrections) -0.3774 eV/atom, D(E_F) 0.4199 states/eV/atom. Number 12: formation energy (no corrections) -0.4227 eV/atom, D(E_F) 0.1805 states/eV/atom.